A:
## K2RuCl (GGA-PBEsol)

Data for a relaxed K2RuCl crystal.

Lattice parameters (Å, degrees): 3.1694 5.7743 5.7742 90.00 90.00 90.00
Fractional coordinates of all 4 atoms:
1 K 0.0000 0.0000 0.0000
2 K 0.0000 0.5000 0.4976
3 Ru 0.5000 0.5000 0.9969
4 Cl 0.5000 0.0000 0.4998

B:
## K2RuCl (GGA-PBEsol)

Data for a relaxed K2RuCl crystal.

Lattice parameters (Å, degrees): 3.2658 3.2658 10.1539 90.00 90.00 90.00
Fractional coordinates of all 4 atoms:
1 K 0.0000 0.0000 0.0000
2 K 0.5000 0.5000 0.4530
3 Ru 0.0000 0.0000 0.6911
4 Cl 0.5000 0.5000 0.1724

B ends up most stable, edging out the next structure by 0.033 eV/atom.

A:
## KRu2Cl (GGA-PBEsol)

Data for a relaxed KRu2Cl crystal.

Lattice parameters (Å, degrees): 3.6159 3.6159 6.5849 90.00 90.00 90.00
Fractional coordinates of all 4 atoms:
1 K 0.0000 0.0000 0.0000
2 Ru 0.0000 0.5000 0.5000
3 Ru 0.5000 0.0000 0.5000
4 Cl 0.5000 0.5000 0.0000

B:
## KRu2Cl (GGA-PBEsol)

Data for a relaxed KRu2Cl crystal.

Lattice parameters (Å, degrees): 11.6221 2.7976 4.6833 90.00 113.13 90.00
Fractional coordinates of all 8 atoms:
1 K 0.0000 0.0000 0.0000
2 K 0.5000 0.5000 0.0000
3 Ru 0.2127 0.0000 0.6696
4 Ru 0.2873 0.5000 0.3304
5 Ru 0.7127 0.5000 0.6696
6 Ru 0.7873 0.0000 0.3304
7 Cl 0.0000 0.5000 0.5000
8 Cl 0.5000 0.0000 0.5000

B ends up most stable, edging out the next structure by 0.211 eV/atom.

A:
## KRu2Cl (GGA-PBEsol)

Data for a relaxed KRu2Cl crystal.

Lattice parameters (Å, degrees): 6.3332 6.3332 6.3332 90.00 90.00 90.00
Fractional coordinates of all 16 atoms:
1 K 0.0000 0.0000 0.0000
2 K 0.0000 0.5000 0.5000
3 K 0.5000 0.0000 0.5000
4 K 0.5000 0.5000 0.0000
5 Ru 0.2500 0.2500 0.2500
6 Ru 0.2500 0.2500 0.7500
7 Ru 0.2500 0.7500 0.2500
8 Ru 0.2500 0.7500 0.7500
9 Ru 0.7500 0.2500 0.2500
10 Ru 0.7500 0.2500 0.7500
11 Ru 0.7500 0.7500 0.2500
12 Ru 0.7500 0.7500 0.7500
13 Cl 0.0000 0.0000 0.5000
14 Cl 0.0000 0.5000 0.0000
15 Cl 0.5000 0.0000 0.0000
16 Cl 0.5000 0.5000 0.5000

B:
## KRu2Cl (GGA-PBEsol)

Data for a relaxed KRu2Cl crystal.

Lattice parameters (Å, degrees): 3.5620 5.9769 8.4938 90.00 90.00 90.00
Fractional coordinates of all 8 atoms:
1 K 0.0000 0.0000 0.0000
2 K 0.5000 0.5000 0.5000
3 Ru 0.0000 0.0000 0.5094
4 Ru 0.0000 0.5000 0.8428
5 Ru 0.5000 0.0000 0.3428
6 Ru 0.5000 0.5000 0.0094
7 Cl 0.0000 0.5000 0.2097
8 Cl 0.5000 0.0000 0.7097

B ends up most stable, edging out the next structure by 0.957 eV/atom.

A:
## KSc2Cl (GGA-PBEsol)

Data for a relaxed KSc2Cl crystal.

Lattice parameters (Å, degrees): 3.4250 3.3293 9.6668 90.00 100.16 90.00
Fractional coordinates of all 4 atoms:
1 K 0.0000 0.0000 0.0000
2 Sc 0.2879 0.0000 0.5726
3 Sc 0.6791 0.5000 0.3533
4 Cl 0.3957 0.5000 0.7909

B:
## KSc2Cl (GGA-PBEsol)

Data for a relaxed KSc2Cl crystal.

Lattice parameters (Å, degrees): 3.5711 3.5711 28.5895 90.00 90.00 120.00
Fractional coordinates of all 12 atoms:
1 K 0.0000 0.0000 0.0000
2 K 0.3333 0.6667 0.6667
3 K 0.6667 0.3333 0.3333
4 Sc 0.0000 0.0000 0.2171
5 Sc 0.0000 0.0000 0.7829
6 Sc 0.3333 0.6667 0.4496
7 Sc 0.3333 0.6667 0.8837
8 Sc 0.6667 0.3333 0.1163
9 Sc 0.6667 0.3333 0.5504
10 Cl 0.0000 0.0000 0.5000
11 Cl 0.3333 0.6667 0.1667
12 Cl 0.6667 0.3333 0.8333

A ends up most stable, edging out the next structure by 0.272 eV/atom.

A:
## KScCl2 (GGA-PBEsol)

Data for a relaxed KScCl2 crystal.

Lattice parameters (Å, degrees): 3.3041 3.3041 7.3339 90.00 90.00 90.00
Fractional coordinates of all 4 atoms:
1 K 0.0000 0.0000 0.0000
2 Sc 0.0000 0.0000 0.5000
3 Cl 0.5000 0.5000 0.2934
4 Cl 0.5000 0.5000 0.7066

B:
## KScCl2 (GGA-PBEsol)

Data for a relaxed KScCl2 crystal.

Lattice parameters (Å, degrees): 7.2462 7.2462 7.2462 90.00 90.00 90.00
Fractional coordinates of all 16 atoms:
1 K 0.0000 0.0000 0.0000
2 K 0.0000 0.5000 0.5000
3 K 0.5000 0.0000 0.5000
4 K 0.5000 0.5000 0.0000
5 Sc 0.2500 0.2500 0.7500
6 Sc 0.2500 0.7500 0.2500
7 Sc 0.7500 0.2500 0.2500
8 Sc 0.7500 0.7500 0.7500
9 Cl 0.0000 0.0000 0.5000
10 Cl 0.0000 0.5000 0.0000
11 Cl 0.2500 0.2500 0.2500
12 Cl 0.2500 0.7500 0.7500
13 Cl 0.5000 0.0000 0.0000
14 Cl 0.5000 0.5000 0.5000
15 Cl 0.7500 0.2500 0.7500
16 Cl 0.7500 0.7500 0.2500

C:
## KScCl2 (GGA-PBEsol)

Data for a relaxed KScCl2 crystal.

Lattice parameters (Å, degrees): 3.4391 3.7213 7.5283 90.00 90.00 90.00
Fractional coordinates of all 4 atoms:
1 K 0.0000 0.0000 0.0000
2 Sc 0.0000 0.5000 0.5000
3 Cl 0.5000 0.5000 0.2413
4 Cl 0.5000 0.5000 0.7587

C ends up most stable, edging out the next structure by 0.116 eV/atom.

A:
## KScCl2 (GGA-PBEsol)

Data for a relaxed KScCl2 crystal.

Lattice parameters (Å, degrees): 3.9395 3.9395 14.1208 90.00 90.00 90.00
Fractional coordinates of all 8 atoms:
1 K 0.0000 0.0000 0.0000
2 K 0.5000 0.5000 0.5000
3 Sc 0.0000 0.5000 0.2500
4 Sc 0.5000 0.0000 0.7500
5 Cl 0.0000 0.0000 0.5000
6 Cl 0.0000 0.5000 0.7500
7 Cl 0.5000 0.0000 0.2500
8 Cl 0.5000 0.5000 0.0000

B:
## KScCl2 (GGA-PBEsol)

Data for a relaxed KScCl2 crystal.

Lattice parameters (Å, degrees): 4.6325 3.4786 5.6716 90.00 90.84 90.00
Fractional coordinates of all 4 atoms:
1 K 0.0000 0.0000 0.0000
2 Sc 0.5000 0.5000 0.5000
3 Cl 0.0000 0.0000 0.5000
4 Cl 0.5000 0.5000 0.0000

B ends up most stable, edging out the next structure by 0.173 eV/atom.

A:
## KSiCl2 (GGA-PBEsol)

Data for a relaxed KSiCl2 crystal.

Lattice parameters (Å, degrees): 7.1417 7.1417 7.1417 90.00 90.00 90.00
Fractional coordinates of all 16 atoms:
1 K 0.0000 0.0000 0.0000
2 K 0.0000 0.5000 0.5000
3 K 0.5000 0.0000 0.5000
4 K 0.5000 0.5000 0.0000
5 Si 0.0000 0.0000 0.5000
6 Si 0.0000 0.5000 0.0000
7 Si 0.5000 0.0000 0.0000
8 Si 0.5000 0.5000 0.5000
9 Cl 0.2500 0.2500 0.2500
10 Cl 0.2500 0.2500 0.7500
11 Cl 0.2500 0.7500 0.2500
12 Cl 0.2500 0.7500 0.7500
13 Cl 0.7500 0.2500 0.2500
14 Cl 0.7500 0.2500 0.7500
15 Cl 0.7500 0.7500 0.2500
16 Cl 0.7500 0.7500 0.7500

B:
## KSiCl2 (GGA-PBEsol)

Data for a relaxed KSiCl2 crystal.

Lattice parameters (Å, degrees): 3.4763 5.2254 5.3275 90.00 90.00 90.00
Fractional coordinates of all 4 atoms:
1 K 0.0000 0.0000 0.0000
2 Si 0.5000 0.5000 0.5080
3 Cl 0.5000 0.0000 0.5063
4 Cl 0.5000 0.5000 0.0790

B ends up most stable, edging out the next structure by 0.392 eV/atom.